No. 1
DFT (PBEsol) results for a relaxed structure of La2TaCo2. Values from VASP.

Structure (Quantum ESPRESSO input):
```
&SYSTEM
  ibrav = 0, nat = 5, ntyp = 3
/
ATOMIC_SPECIES
Co 58.93 Co.upf
La 138.91 La.upf
Ta 180.95 Ta.upf
CELL_PARAMETERS angstrom
5.2517 -0.0056 -0.0083
-2.3762 4.6833 0.0083
-2.3762 -1.7620 4.3393
ATOMIC_POSITIONS crystal
Co 0.0000 0.6679 0.6679
La 0.5000 0.7500 0.2500
Ta 0.0000 0.0000 0.0000
Co 0.0000 0.3321 0.3321
La 0.5000 0.2500 0.7500
```

Its space group is I4/mmm, No. 139. The value obtained for the calculated formation energy is 0.44 eV/atom.



No. 2
DFT (PBEsol) results for a relaxed structure of AlSbOs2. Values from VASP.

Structure (Quantum ESPRESSO input):
```
&SYSTEM
  ibrav = 0, nat = 4, ntyp = 3
/
ATOMIC_SPECIES
Os 190.23 Os.upf
Al 26.98 Al.upf
Sb 121.76 Sb.upf
CELL_PARAMETERS angstrom
-0.9404 1.1662 -2.5777
-0.1533 -4.4326 -1.9494
-3.6080 1.1970 3.5821
ATOMIC_POSITIONS crystal
Os 0.2728 0.2728 0.5457
Al 0.0000 0.5000 0.0000
Sb 0.5000 0.0000 0.0000
Os 0.7272 0.7272 0.4543
```

Its space group is Immm, No. 71. Its energy relative to the lowest polymorph listed for this composition is 0.2499 eV/atom. For the uncorrected formation energy, the calculation gives 10.3 kcal/mol of atoms.



No. 3
DFT (PBEsol) results for a relaxed structure of KInAs2. Values from VASP.

Structure (Quantum ESPRESSO input):
```
&SYSTEM
  ibrav = 0, nat = 4, ntyp = 3
/
ATOMIC_SPECIES
K 39.10 K.upf
As 74.92 As.upf
In 114.82 In.upf
CELL_PARAMETERS angstrom
-0.0001 2.2871 3.8406
-4.4461 -0.3970 0.2362
2.7008 -4.8957 0.3143
ATOMIC_POSITIONS crystal
K 0.2500 0.7500 0.5000
As 0.0000 0.0000 0.0000
As 0.7500 0.2500 0.5000
In 0.5000 0.5000 0.0000
```

Its space group is I-4m2, No. 119. The value obtained for the calculated formation energy is 0.13 eV/atom.



No. 4
DFT (PBEsol) results for a relaxed structure of Mg5Bi. Values from VASP.

Structure (Quantum ESPRESSO input):
```
&SYSTEM
  ibrav = 0, nat = 6, ntyp = 2
/
ATOMIC_SPECIES
Mg 24.30 Mg.upf
Bi 208.98 Bi.upf
CELL_PARAMETERS angstrom
3.3823 0.0000 0.0000
0.0000 5.1696 0.0000
-1.6911 0.0000 8.2138
ATOMIC_POSITIONS crystal
Mg 0.3347 0.0000 0.6694
Mg 0.1103 0.5000 0.2207
Mg 0.6608 0.0000 0.3217
Mg 0.9993 0.0000 0.9985
Mg 0.4505 0.5000 0.9010
Bi 0.7777 0.5000 0.5553
```

Its space group is Amm2, No. 38. The value obtained for the calculated formation energy is -0.04 eV/atom.



No. 5
DFT (PBEsol) results for a relaxed structure of CrAs2P. Values from VASP.

Structure (Quantum ESPRESSO input):
```
&SYSTEM
  ibrav = 0, nat = 4, ntyp = 3
/
ATOMIC_SPECIES
P 30.97 P.upf
Cr 52.00 Cr.upf
As 74.92 As.upf
CELL_PARAMETERS angstrom
-0.3351 -2.5550 -1.5576
-0.4992 -1.4977 2.5641
-6.2600 1.1534 -0.5450
ATOMIC_POSITIONS crystal
P 0.5000 0.5000 0.5000
Cr 0.5000 0.5000 0.0000
As 0.0000 0.0000 0.2163
As 0.0000 0.0000 0.7837
```

Its space group is P4/mmm, No. 123. The value obtained for the calculated formation energy is 0.22 eV/atom.



No. 6
DFT (PBEsol) results for a relaxed structure of Mg3IrAu. Values from VASP.

Structure (Quantum ESPRESSO input):
```
&SYSTEM
  ibrav = 0, nat = 5, ntyp = 3
/
ATOMIC_SPECIES
Ir 192.22 Ir.upf
Mg 24.30 Mg.upf
Au 196.97 Au.upf
CELL_PARAMETERS angstrom
4.8505 0.0000 0.0000
0.0000 4.8505 0.0000
0.0000 0.0000 4.8505
ATOMIC_POSITIONS crystal
Ir 0.0000 0.0000 0.0000
Mg 0.0000 0.5000 0.0000
Au 0.5000 0.5000 0.5000
Mg 0.0000 0.0000 0.5000
Mg 0.5000 0.0000 0.0000
```

Its space group is Pm-3m, No. 221. The value obtained for the calculated formation energy is 0.22 eV/atom.



No. 7
DFT (PBEsol) results for a relaxed structure of In2TcRh. Values from VASP.

Structure (Quantum ESPRESSO input):
```
&SYSTEM
  ibrav = 0, nat = 4, ntyp = 3
/
ATOMIC_SPECIES
In 114.82 In.upf
Tc 98.00 Tc.upf
Rh 102.91 Rh.upf
CELL_PARAMETERS angstrom
-3.0541 -0.9026 0.0317
0.7512 -2.4768 1.8560
-1.0159 3.6215 5.2441
ATOMIC_POSITIONS crystal
In 0.0000 0.0000 0.2468
In 0.0000 0.0000 0.7532
Tc 0.5000 0.5000 0.5000
Rh 0.5000 0.5000 0.0000
```

Its space group is P4/mmm, No. 123. Its energy relative to the lowest polymorph listed for this composition is 0.0000 eV/atom. The value obtained for the calculated formation energy is 0.00 eV/atom.



No. 8
DFT (PBEsol) results for a relaxed structure of Al2AgBi2. Values from VASP.

Structure (Quantum ESPRESSO input):
```
&SYSTEM
  ibrav = 0, nat = 10, ntyp = 3
/
ATOMIC_SPECIES
Bi 208.98 Bi.upf
Ag 107.87 Ag.upf
Al 26.98 Al.upf
CELL_PARAMETERS angstrom
-1.7039 -2.3829 -2.6744
7.0664 -1.4036 -3.2516
1.0071 -6.1611 4.8481
ATOMIC_POSITIONS crystal
Bi 0.0000 0.1760 0.3240
Bi 0.0000 0.3240 0.8240
Ag 0.0000 0.0000 0.0000
Bi 0.0000 0.8240 0.6760
Ag 0.0000 0.5000 0.5000
Al 0.5000 0.6230 0.8770
Al 0.5000 0.8770 0.3770
Bi 0.0000 0.6760 0.1760
Al 0.5000 0.1230 0.6230
Al 0.5000 0.3770 0.1230
```

Its space group is P4/mbm, No. 127. The value obtained for the calculated formation energy is 0.32 eV/atom.



No. 9
DFT (PBEsol) results for a relaxed structure of LaCuOs2. Values from VASP.

Structure (Quantum ESPRESSO input):
```
&SYSTEM
  ibrav = 0, nat = 4, ntyp = 3
/
ATOMIC_SPECIES
La 138.91 La.upf
Os 190.23 Os.upf
Cu 63.55 Cu.upf
CELL_PARAMETERS angstrom
-0.6121 2.0047 -2.3218
-1.4695 -2.2699 -1.5724
-6.0410 1.7569 3.1096
ATOMIC_POSITIONS crystal
La 0.5000 0.5000 0.5000
Os 0.0000 0.0000 0.1793
Os 0.0000 0.0000 0.8207
Cu 0.5000 0.5000 0.0000
```

Its space group is P4/mmm, No. 123. The value obtained for the calculated formation energy is 0.65 eV/atom.



No. 10
DFT (PBEsol) results for a relaxed structure of TbSi2Ir2. Values from VASP.

Structure (Quantum ESPRESSO input):
```
&SYSTEM
  ibrav = 0, nat = 10, ntyp = 3
/
ATOMIC_SPECIES
Si 28.09 Si.upf
Ir 192.22 Ir.upf
Tb 158.93 Tb.upf
CELL_PARAMETERS angstrom
-2.8628 2.5612 -1.4134
-2.8622 -2.0441 2.0934
1.4431 5.8588 7.6937
ATOMIC_POSITIONS crystal
Si 0.0000 0.0000 0.5000
Si 0.5000 0.5000 0.5000
Ir 0.5000 0.0000 0.6289
Ir 0.5000 0.5000 0.0000
Si 0.5000 0.0000 0.8689
Si 0.0000 0.5000 0.1311
Ir 0.0000 0.5000 0.3711
Tb 0.0000 0.5000 0.7465
Ir 0.0000 0.0000 0.0000
Tb 0.5000 0.0000 0.2535
```

Its space group is P4/nmm, No. 129. For the uncorrected formation energy, the calculation gives -25.3 kcal/mol of atoms.



No. 11
DFT (PBEsol) results for a relaxed structure of BaP2W2. Values from VASP.

Structure (Quantum ESPRESSO input):
```
&SYSTEM
  ibrav = 0, nat = 5, ntyp = 3
/
ATOMIC_SPECIES
P 30.97 P.upf
W 183.84 W.upf
Ba 137.33 Ba.upf
CELL_PARAMETERS angstrom
-0.0282 0.1752 3.8331
0.2681 -3.8238 0.1767
6.7878 2.3100 -1.9764
ATOMIC_POSITIONS crystal
P 0.3647 0.3647 0.7294
W 0.2500 0.7500 0.5000
Ba 0.0000 0.0000 0.0000
P 0.6353 0.6353 0.2706
W 0.7500 0.2500 0.5000
```

Its space group is I4/mmm, No. 139. The value obtained for the calculated formation energy is -0.50 eV/atom.



No. 12
DFT (PBEsol) results for a relaxed structure of CsC2SCl. Values from VASP.

Structure (Quantum ESPRESSO input):
```
&SYSTEM
  ibrav = 0, nat = 5, ntyp = 4
/
ATOMIC_SPECIES
Cs 132.91 Cs.upf
C 12.01 C.upf
Cl 35.45 Cl.upf
S 32.06 S.upf
CELL_PARAMETERS angstrom
-1.2665 -3.5624 -3.4666
1.5603 -3.6815 3.2131
-5.8521 -0.3238 2.4708
ATOMIC_POSITIONS crystal
Cs 0.0000 0.0000 0.0000
C 0.0000 0.5000 0.0000
C 0.5000 0.0000 0.0000
Cl 0.0000 0.0000 0.5000
S 0.5000 0.5000 0.5000
```

Its space group is P4/mmm, No. 123. For the uncorrected formation energy, the calculation gives 73.2 kcal/mol of atoms.



No. 13
DFT (PBEsol) results for a relaxed structure of K2BaBBr. Values from VASP.

Structure (Quantum ESPRESSO input):
```
&SYSTEM
  ibrav = 0, nat = 5, ntyp = 4
/
ATOMIC_SPECIES
K 39.10 K.upf
B 10.81 B.upf
Ba 137.33 Ba.upf
Br 79.90 Br.upf
CELL_PARAMETERS angstrom
-5.0060 -1.1434 -1.5720
0.2926 -4.7367 2.5134
-2.8932 3.3985 6.7415
ATOMIC_POSITIONS crystal
K 0.0000 0.5000 0.0000
B 0.0000 0.0000 0.0000
Ba 0.5000 0.5000 0.5000
K 0.5000 0.0000 0.0000
Br 0.0000 0.0000 0.5000
```

Its space group is P4/mmm, No. 123. For the uncorrected formation energy, the calculation gives 12.9 kcal/mol of atoms.



No. 14
DFT (PBEsol) results for a relaxed structure of PrSi2Rh2. Values from VASP.

Structure (Quantum ESPRESSO input):
```
&SYSTEM
  ibrav = 0, nat = 5, ntyp = 3
/
ATOMIC_SPECIES
Si 28.09 Si.upf
Rh 102.91 Rh.upf
Pr 140.91 Pr.upf
CELL_PARAMETERS angstrom
-2.7402 1.9607 2.2761
-0.7381 -3.4257 2.0624
5.3662 1.9490 1.1495
ATOMIC_POSITIONS crystal
Si 0.6252 0.6252 0.2504
Si 0.3748 0.3748 0.7496
Rh 0.7500 0.2500 0.5000
Pr 0.0000 0.0000 0.0000
Rh 0.2500 0.7500 0.5000
```

Its space group is I4/mmm, No. 139. For the uncorrected formation energy, the calculation gives -25.9 kcal/mol of atoms.